Entry 1:
Computed, not measured: a geometry-optimized BeBP2 structure at the PBE level of DFT.

Summary:
- Energy relative to the elements: -0.137 eV/atom
- Excess energy over the best structure of this formula in the dataset: 0 meV per atom
- VASP energy: -43.54 eV per cell
- Magnetic moment: 0.0 μB per formula unit

POSCAR file:
```
BeBP2
1.0
-2.405 2.405 4.615
2.405 -2.405 4.615
2.405 2.405 -4.615
Be B P
2 2 4
Cartesian
0.000 0.000 0.000
0.000 2.405 2.307
2.405 0.000 2.307
0.000 0.000 4.615
1.203 -1.071 3.461
1.334 1.203 1.154
1.203 3.476 -1.154
1.071 1.203 5.769
```


Entry 2:
Computed, not measured: a geometry-optimized Be2BP structure at the PBE level of DFT.

Summary:
- Energy relative to the elements: 0.818 eV/atom
- Excess energy over the best structure of this formula in the dataset: 0 meV per atom
- VASP energy: -32.54 eV per cell
- Magnetic moment: 0.0 μB per formula unit

POSCAR file:
```
Be2BP
1.0
-2.629 2.629 3.507
2.629 -2.629 3.507
2.629 2.629 -3.507
Be B P
4 2 2
Cartesian
3.944 1.185 -0.877
1.185 1.315 0.877
-1.315 1.444 2.630
1.444 1.315 4.383
0.000 0.000 0.000
0.000 2.629 1.753
2.629 0.000 1.753
0.000 0.000 3.507
```


Entry 3:
Computed, not measured: a geometry-optimized BeB2P structure at the PBE level of DFT.

Summary:
- Energy relative to the elements: 1.218 eV/atom
- Excess energy over the best structure of this formula in the dataset: 610 meV per atom
- VASP energy: -17.62 eV per cell
- Magnetic moment: 0.0 μB per formula unit

POSCAR file:
```
BeB2P
1.0
0.000 2.563 2.563
2.563 0.000 2.563
2.563 2.563 0.000
Be B P
1 2 1
Cartesian
0.000 0.000 0.000
1.282 1.282 1.282
3.845 3.845 3.845
2.563 2.563 2.563
```